Version one
# Ho2AlHg (PBE, relaxed)
data_Ho2AlHg
_cell_length_a 7.3292
_cell_length_b 7.3292
_cell_length_c 7.3292
_cell_angle_alpha 90.00
_cell_angle_beta 90.00
_cell_angle_gamma 90.00
_space_group_name_H-M_alt 'F m -3 m'
_space_group_IT_number 225
_space_group_name_Hall '-F 4 2 3'
loop_
_atom_site_label
_atom_site_type_symbol
_atom_site_fract_x
_atom_site_fract_y
_atom_site_fract_z
_atom_site_occupancy
Ho1 Ho 0.2500 0.2500 0.2500 1
Al1 Al 0.0000 0.0000 0.0000 1
Hg1 Hg 0.0000 0.0000 0.5000 1
# calculated density = 9.40 g cm⁻³

***

Version two
# Ho2AlHg (PBE, relaxed)
data_Ho2AlHg
_cell_length_a 3.5971
_cell_length_b 3.5971
_cell_length_c 7.5134
_cell_angle_alpha 90.00
_cell_angle_beta 90.00
_cell_angle_gamma 90.00
_space_group_name_H-M_alt 'P 4/m m m'
_space_group_IT_number 123
_space_group_name_Hall '-P 4 2'
loop_
_atom_site_label
_atom_site_type_symbol
_atom_site_fract_x
_atom_site_fract_y
_atom_site_fract_z
_atom_site_occupancy
Ho1 Ho 0.0000 0.0000 0.2402 1
Al1 Al 0.5000 0.5000 0.0000 1
Hg1 Hg 0.5000 0.5000 0.5000 1
# calculated density = 9.52 g cm⁻³

***

Version three
# Ho2AlHg (PBE, relaxed)
data_Ho2AlHg
_cell_length_a 3.6201
_cell_length_b 3.6201
_cell_length_c 27.7061
_cell_angle_alpha 90.00
_cell_angle_beta 90.00
_cell_angle_gamma 120.00
_space_group_name_H-M_alt 'R -3 m'
_space_group_IT_number 166
_space_group_name_Hall '-R 3 2"'
loop_
_atom_site_label
_atom_site_type_symbol
_atom_site_fract_x
_atom_site_fract_y
_atom_site_fract_z
_atom_site_occupancy
Ho1 Ho 0.0000 0.0000 0.2471 1
Al1 Al 0.0000 0.0000 0.5000 1
Hg1 Hg 0.0000 0.0000 0.0000 1
# calculated density = 8.83 g cm⁻³

***

Ranking the structures above by stability puts version two first and version three last.